Record 1
The following is a PBE calculation of SmZrNb after structural relaxation, from OQMD via LeMat-Bulk.

```
SmZrNb
1.0
6.8416 0.0000 0.0000
0.0000 6.8416 0.0000
0.0000 0.0000 6.8416
Sm Zr Nb
4 4 4
Cartesian
0.0000 0.0000 0.0000
0.0000 3.4208 3.4208
3.4208 0.0000 3.4208
3.4208 3.4208 0.0000
0.0000 0.0000 3.4208
0.0000 3.4208 0.0000
3.4208 0.0000 0.0000
3.4208 3.4208 3.4208
1.7104 1.7104 1.7104
1.7104 5.1312 5.1312
5.1312 1.7104 5.1312
5.1312 5.1312 1.7104
```

Computed properties:
Energy relative to the lowest polymorph listed for this composition: 0.0 meV/atom
Formation energy: 0.7613 eV/atom

***

Record 2
The following is a PBE calculation of SmZrNb after structural relaxation, from OQMD via LeMat-Bulk.

```
SmZrNb
1.0
6.8015 0.0000 0.0000
0.0000 6.8015 0.0000
0.0000 0.0000 6.8015
Sm Zr Nb
4 4 4
Cartesian
0.0000 0.0000 0.0000
0.0000 3.4008 3.4008
3.4008 0.0000 3.4008
3.4008 3.4008 0.0000
1.7004 1.7004 1.7004
1.7004 5.1011 5.1011
5.1011 1.7004 5.1011
5.1011 5.1011 1.7004
1.7004 1.7004 5.1011
1.7004 5.1011 1.7004
5.1011 1.7004 1.7004
5.1011 5.1011 5.1011
```

Computed properties:
Energy relative to the lowest polymorph listed for this composition: 542.7 meV/atom
Formation energy: 1.3041 eV/atom

***

Record 3
The following is a PBE calculation of NbSn after structural relaxation, from OQMD via LeMat-Bulk.

```
NbSn
1.0
6.3121 0.0000 0.0000
0.0000 6.3121 0.0000
0.0000 0.0000 6.3121
Nb Sn
4 4
Cartesian
0.0000 0.0000 0.0000
0.0000 3.1561 3.1561
3.1561 0.0000 3.1561
3.1561 3.1561 0.0000
1.5780 1.5780 4.7341
1.5780 4.7341 1.5780
4.7341 1.5780 1.5780
4.7341 4.7341 4.7341
```

***

no.,energy (eV per cell)
1,-84.3
2,-77.8
3,-45.6